Entry from Alexandria: a geometry-optimized LaPa2Ir9 structure (PBE-GGA).

Cell lengths 5.342, 5.342, 9.318 Å; angles 73.34, 73.34, 60.00 degrees
Fractional coordinates of all 12 atoms:
Ir 0.586 0.586 0.748
Ir 0.334 0.334 0.999
Ir 0.414 0.919 0.252
Ir 0.919 0.414 0.252
Ir 0.586 0.081 0.748
Ir 0.414 0.414 0.252
Ir 0.081 0.586 0.748
Ir 0.500 0.500 0.500
Ir 0.666 0.666 0.001
Pa 0.138 0.138 0.587
Pa 0.862 0.862 0.413
La 0.000 0.000 0.000

The value obtained for the formation energy is -602 meV/atom.